(1)
This record from the Alexandria database describes Li2Co3O6 after structural relaxation. The functional is PBE with a Hubbard U.

```
data_Li2Co3O6
_chemical_formula_sum 'Li8 Co12 O24'
_symmetry_space_group_name_H-M 'C 1 c 1'
_symmetry_Int_Tables_number 9
_symmetry_space_group_name_Hall 'C -2yc'
_cell_length_a 8.457
_cell_length_b 4.885
_cell_length_c 10.142
_cell_angle_alpha 90.00
_cell_angle_beta 106.42
_cell_angle_gamma 90.00
loop_
_atom_site_label
_atom_site_type_symbol
_atom_site_fract_x
_atom_site_fract_y
_atom_site_fract_z
_atom_site_occupancy
Li1 Li 0.000 0.085 0.000 1
Li2 Li 0.335 0.087 0.000 1
Co1 Co 0.088 0.085 0.258 1
Co2 Co 0.251 0.417 0.749 1
Co3 Co 0.422 0.083 0.258 1
O1 O 0.049 0.414 0.151 1
O2 O 0.126 0.248 0.858 1
O3 O 0.219 0.078 0.652 1
O4 O 0.292 0.256 0.358 1
O5 O 0.388 0.414 0.152 1
O6 O 0.448 0.257 0.858 1
```

Final energy   -250.8 eV for the cell shown
Total magnetic moment   0.926 μB/f.u.
ΔE to the lowest computed polymorph   0.000 eV/atom

(2)
This record from the Alexandria database describes CuNi2SeO6 after structural relaxation. The functional is PBE with a Hubbard U.

```
data_CuNi2SeO6
_chemical_formula_sum 'Cu1 Ni2 Se1 O6'
_symmetry_space_group_name_H-M 'P 4 m m'
_symmetry_Int_Tables_number 99
_symmetry_space_group_name_Hall 'P 4 -2'
_cell_length_a 5.273
_cell_length_b 5.273
_cell_length_c 4.624
_cell_angle_alpha 90.00
_cell_angle_beta 90.00
_cell_angle_gamma 90.00
loop_
_atom_site_label
_atom_site_type_symbol
_atom_site_fract_x
_atom_site_fract_y
_atom_site_fract_z
_atom_site_occupancy
Cu1 Cu 0.000 0.000 0.000 1
Ni1 Ni 0.000 0.500 0.374 1
Se1 Se 0.500 0.500 0.088 1
O1 O 0.000 0.000 0.611 1
O2 O 0.263 0.263 0.205 1
O3 O 0.500 0.500 0.731 1
```

Final energy   -46.0 eV for the cell shown
Total magnetic moment   5.031 μB/f.u.